Record 1
DFT (PBE) results for crystalline Ba3CaPd at its relaxed geometry.

a = 8.443 Å, b = 8.443 Å, c = 14.383 Å
α = 90.00°, β = 90.00°, γ = 90.00°
Atoms (fractional coordinates):
Ba: 0.576 0.333 0.127
Ba: 0.692 0.019 0.872
Ba: 0.667 0.576 0.377
Ba: 0.810 0.078 0.346
Ba: 0.981 0.692 0.122
Ba: 0.922 0.810 0.596
Ba: 0.078 0.190 0.096
Ba: 0.019 0.308 0.622
Ba: 0.190 0.922 0.846
Ba: 0.333 0.424 0.877
Ba: 0.308 0.981 0.372
Ba: 0.424 0.667 0.627
Ca: 0.524 0.169 0.603
Ca: 0.831 0.524 0.853
Ca: 0.169 0.476 0.353
Ca: 0.476 0.831 0.103
Pd: 0.603 0.898 0.493
Pd: 0.898 0.397 0.243
Pd: 0.102 0.603 0.743
Pd: 0.397 0.102 0.993

Summary:
The formation energy comes out at -1.11 eV/f.u. The density of states at the Fermi level is 18.566 states/eV/cell. Its total DFT energy (no corrections) is -2.81 eV per atom. The symmetry is P4_1.

Record 2
DFT (PBE) results for crystalline Rb2NiRuBr6 at its relaxed geometry.

a = 7.351 Å, b = 7.351 Å, c = 7.349 Å
α = 59.99°, β = 59.99°, γ = 90.00°
Site moments in Bohr magnetons follow the coordinates.
Atoms (fractional coordinates):
Ru: 0.000 0.000 0.000  0.78
Br: 0.249 0.249 0.502  0.04
Br: 0.751 0.751 0.498  0.04
Br: 0.249 0.249 0.000  0.04
Br: 0.751 0.751 0.000  0.04
Br: 0.751 0.249 0.000  0.04
Br: 0.249 0.751 0.000  0.04
Rb: 0.750 0.250 0.500  0.00
Rb: 0.250 0.750 0.500  0.00
Ni: 0.500 0.500 0.000  0.85

Summary:
The density of states at the Fermi level is 13.417 states/eV/cell. Its total DFT energy (no corrections) is -3.42 eV per atom. For the formation energy without anion corrections, the calculation gives -0.7202 eV/atom. The symmetry is Fm-3m.

Record 3
DFT (PBE) results for crystalline Na4AgP2 at its relaxed geometry.

a = 4.893 Å, b = 4.893 Å, c = 9.077 Å
α = 74.36°, β = 74.36°, γ = 60.00°
Atoms (fractional coordinates):
Na: 0.390 0.390 0.829
Na: 0.205 0.205 0.385
Na: 0.795 0.795 0.615
Na: 0.610 0.610 0.171
Ag: 0.000 0.000 0.000
P: 0.091 0.091 0.726
P: 0.909 0.909 0.274

Summary:
The formation energy comes out at -1.72 eV/f.u. The density of states at the Fermi level is 3.982 states/eV/cell. Its total DFT energy (no corrections) is -2.95 eV per atom. The symmetry is R-3m.

Record 4
DFT (PBE) results for crystalline KRu2W at its relaxed geometry.

a = 4.539 Å, b = 4.539 Å, c = 4.539 Å
α = 120.01°, β = 120.01°, γ = 89.99°
Atoms (fractional coordinates):
K: 0.750 0.250 0.500
Ru: 0.000 0.000 0.000
Ru: 0.250 0.750 0.500
W: 0.500 0.500 0.000

Summary:
The formation energy comes out at 6.11 eV/f.u. The density of states at the Fermi level is 3.233 states/eV/cell. Its total DFT energy (no corrections) is -6.62 eV per atom. The symmetry is F-43m.

Record 5
DFT (PBE) results for crystalline K2CuH4Cl4O2 at its relaxed geometry.

a = 7.577 Å, b = 7.577 Å, c = 7.960 Å
α = 90.00°, β = 90.00°, γ = 90.00°
Site moments in Bohr magnetons follow the coordinates.
Atoms (fractional coordinates):
K: 0.000 0.500 0.250  0.00
K: 0.500 0.000 0.750  0.00
K: 0.000 0.500 0.750  0.00
K: 0.500 0.000 0.250  0.00
Cu: 0.500 0.500 0.500  0.59
Cu: 0.000 0.000 0.000  0.59
H: 0.425 0.575 0.179  0.00
H: 0.575 0.425 0.179  0.00
H: 0.075 0.075 0.679  0.00
H: 0.925 0.925 0.679  0.00
H: 0.575 0.425 0.821  0.00
H: 0.425 0.575 0.821  0.00
H: 0.925 0.925 0.321  0.00
H: 0.075 0.075 0.321  0.00
Cl: 0.287 0.713 0.500  0.10
Cl: 0.713 0.287 0.500  0.10
Cl: 0.213 0.213 0.000  0.10
Cl: 0.787 0.787 0.000  0.10
Cl: 0.284 0.716 0.000  0.01
Cl: 0.716 0.284 0.000  0.01
Cl: 0.216 0.216 0.500  0.01
Cl: 0.784 0.784 0.500  0.01
O: 0.500 0.500 0.252  0.06
O: 0.000 0.000 0.752  0.06
O: 0.500 0.500 0.748  0.06
O: 0.000 0.000 0.248  0.06

Summary:
Its total DFT energy (no corrections) is -4.03 eV per atom. The symmetry is P4_2/mnm.

Record 6
DFT (PBE) results for crystalline Ba2Np3CuO12 at its relaxed geometry.

a = 7.365 Å, b = 7.365 Å, c = 7.365 Å
α = 65.60°, β = 65.60°, γ = 65.60°
Site moments in Bohr magnetons follow the coordinates.
Atoms (fractional coordinates):
Ba: 0.666 0.666 0.666  0.00
Ba: 0.334 0.334 0.334  0.00
Np: 0.500 0.000 0.000  -0.99
Np: 0.000 0.500 0.000  -0.99
Np: 0.000 0.000 0.500  -0.99
Cu: 0.000 0.000 0.000  0.39
O: 0.328 0.328 0.954  0.05
O: 0.929 0.929 0.322  0.06
O: 0.322 0.929 0.929  0.06
O: 0.954 0.328 0.328  0.05
O: 0.929 0.322 0.929  0.06
O: 0.328 0.954 0.328  0.05
O: 0.672 0.672 0.046  0.05
O: 0.071 0.071 0.678  0.06
O: 0.678 0.071 0.071  0.06
O: 0.046 0.672 0.672  0.05
O: 0.071 0.678 0.071  0.06
O: 0.672 0.046 0.672  0.05

Summary:
The density of states at the Fermi level is 14.932 states/eV/cell. Its total DFT energy (no corrections) is -8.43 eV per atom. For the formation energy without anion corrections, the calculation gives -2.5219 eV/atom. The symmetry is R-3m.

Record 7
DFT (PBE) results for crystalline SrGdInAu at its relaxed geometry.

a = 5.412 Å, b = 5.412 Å, c = 5.412 Å
α = 60.00°, β = 60.00°, γ = 60.00°
Site moments in Bohr magnetons follow the coordinates.
Atoms (fractional coordinates):
Sr: 0.250 0.250 0.250  0.01
Gd: 0.750 0.750 0.750  7.04
Au: 0.000 0.000 0.000  0.01
In: 0.500 0.500 0.500  0.02

Summary:
The formation energy comes out at -2.13 eV/f.u. The density of states at the Fermi level is 3.591 states/eV/cell. Its total DFT energy (no corrections) is -5.98 eV per atom. The symmetry is F-43m.

Record 8
DFT (PBE) results for crystalline MgPd4Au at its relaxed geometry.

a = 5.257 Å, b = 5.257 Å, c = 5.257 Å
α = 60.00°, β = 60.00°, γ = 60.00°
Atoms (fractional coordinates):
Mg: 0.250 0.250 0.250
Au: 0.000 0.000 0.000
Pd: 0.625 0.625 0.125
Pd: 0.625 0.125 0.625
Pd: 0.625 0.625 0.625
Pd: 0.125 0.625 0.625

Summary:
The formation energy comes out at -1.01 eV/f.u. The density of states at the Fermi level is 9.507 states/eV/cell. Its total DFT energy (no corrections) is -4.44 eV per atom. The symmetry is F-43m.

Record 9
DFT (PBE) results for crystalline LiHClF at its relaxed geometry.

a = 3.923 Å, b = 3.929 Å, c = 5.599 Å
α = 113.17°, β = 68.29°, γ = 128.36°
Atoms (fractional coordinates):
Li: 0.061 0.177 0.046
H: 0.622 0.610 0.606
Cl: 0.693 0.561 0.271
F: 0.586 0.641 0.804

Summary:
The density of states at the Fermi level is 0.000 states/eV/cell. Its total DFT energy (no corrections) is -3.95 eV per atom. The symmetry is P1.

Record 10
DFT (PBE) results for crystalline Pm3DyB4O12 at its relaxed geometry.

a = 6.599 Å, b = 6.599 Å, c = 6.599 Å
α = 101.84°, β = 101.84°, γ = 101.84°
Atoms (fractional coordinates):
Pm: 0.523 0.477 0.000
Pm: 0.477 0.000 0.523
Pm: 0.000 0.523 0.477
Dy: 0.000 0.000 0.000
B: 0.976 0.024 0.500
B: 0.024 0.500 0.976
B: 0.500 0.976 0.024
B: 0.500 0.500 0.500
O: 0.500 0.366 0.634
O: 0.890 0.500 0.110
O: 0.110 0.890 0.500
O: 0.500 0.110 0.890
O: 0.356 0.976 0.152
O: 0.152 0.356 0.976
O: 0.976 0.152 0.356
O: 0.644 0.848 0.024
O: 0.024 0.644 0.848
O: 0.848 0.024 0.644
O: 0.634 0.500 0.366
O: 0.366 0.634 0.500

Summary:
The density of states at the Fermi level is 0.000 states/eV/cell. Its total DFT energy (no corrections) is -8.26 eV per atom. For the formation energy without anion corrections, the calculation gives -3.0039 eV/atom. The symmetry is R32.

Record 11
DFT (PBE) results for crystalline La2NbSn2 at its relaxed geometry.

a = 7.793 Å, b = 7.793 Å, c = 4.758 Å
α = 90.00°, β = 90.00°, γ = 90.00°
Site moments in Bohr magnetons follow the coordinates.
Atoms (fractional coordinates):
Nb: 0.000 0.000 0.000  1.29
Nb: 0.500 0.500 0.000  1.29
Sn: 0.364 0.864 0.000  -0.03
Sn: 0.864 0.636 0.000  -0.03
Sn: 0.636 0.136 0.000  -0.03
Sn: 0.136 0.364 0.000  -0.03
La: 0.173 0.673 0.500  0.05
La: 0.673 0.827 0.500  0.05
La: 0.827 0.327 0.500  0.05
La: 0.327 0.173 0.500  0.05

Summary:
The formation energy comes out at -1.89 eV/f.u. The density of states at the Fermi level is 10.640 states/eV/cell. Its total DFT energy (no corrections) is -5.96 eV per atom. The symmetry is P4/mbm.

Record 12
DFT (PBE) results for crystalline FeTc2Pt at its relaxed geometry.

a = 4.178 Å, b = 2.655 Å, c = 5.266 Å
α = 75.34°, β = 90.00°, γ = 90.00°
Site moments in Bohr magnetons follow the coordinates.
Atoms (fractional coordinates):
Fe: 0.000 0.698 0.479  2.16
Pt: 0.500 0.562 0.751  0.07
Tc: 0.000 0.940 0.993  -0.17
Tc: 0.500 0.300 0.276  -0.23

Summary:
The formation energy comes out at -0.03 eV/f.u. The density of states at the Fermi level is 3.550 states/eV/cell. Its total DFT energy (no corrections) is -8.82 eV per atom. The symmetry is Amm2.